No. 1
Material: Cd2InMo
Method: DFT, GGA-PBEsol
State: relaxed

Structure (CIF):
```
data_Cd2InMo
_cell_length_a 3.5301
_cell_length_b 3.5301
_cell_length_c 6.1614
_cell_angle_alpha 90.00
_cell_angle_beta 90.00
_cell_angle_gamma 90.00
_symmetry_space_group_name_H-M 'P 4 m m'
_symmetry_Int_Tables_number 99
loop_
_symmetry_equiv_pos_as_xyz
'x,y,z'
'-y,x,z'
'-x,-y,z'
'y,-x,z'
'-x,y,z'
'y,x,z'
'x,-y,z'
'-y,-x,z'
loop_
_atom_site_label
_atom_site_type_symbol
_atom_site_fract_x
_atom_site_fract_y
_atom_site_fract_z
Cd1 Cd 0.0000 0.0000 0.0000
Cd2 Cd 0.5000 0.5000 0.2494
In1 In 0.0000 0.0000 0.5358
Mo1 Mo 0.5000 0.5000 0.7455
```

Summary:
calculated total energy	-3.850	eV per atom
crystal system	tetragonal



No. 2
Material: Cd2InMo
Method: DFT, GGA-PBEsol
State: relaxed

Structure (CIF):
```
data_Cd2InMo
_cell_length_a 6.7247
_cell_length_b 6.7247
_cell_length_c 6.7247
_cell_angle_alpha 90.00
_cell_angle_beta 90.00
_cell_angle_gamma 90.00
_symmetry_space_group_name_H-M 'F -4 3 m'
_symmetry_Int_Tables_number 216
_symmetry_space_group_name_Hall 'F -4 2 3'
loop_
_atom_site_label
_atom_site_type_symbol
_atom_site_fract_x
_atom_site_fract_y
_atom_site_fract_z
Cd1 Cd 0.0000 0.0000 0.0000
Cd2 Cd 0.2500 0.2500 0.2500
In1 In 0.2500 0.2500 0.7500
Mo1 Mo 0.0000 0.0000 0.5000
```

Summary:
calculated total energy	-3.735	eV per atom
crystal system	cubic



No. 3
Material: Cd2InMo
Method: DFT, GGA-PBEsol
State: relaxed

Structure (CIF):
```
data_Cd2InMo
_cell_length_a 2.9994
_cell_length_b 2.9994
_cell_length_c 30.1293
_cell_angle_alpha 90.00
_cell_angle_beta 90.00
_cell_angle_gamma 120.00
_symmetry_space_group_name_H-M 'R -3 m'
_symmetry_Int_Tables_number 166
_symmetry_space_group_name_Hall '-R 3 2"'
loop_
_atom_site_label
_atom_site_type_symbol
_atom_site_fract_x
_atom_site_fract_y
_atom_site_fract_z
Cd1 Cd 0.0000 0.0000 0.2438
In1 In 0.0000 0.0000 0.0000
Mo1 Mo 0.0000 0.0000 0.5000
```

Summary:
calculated total energy	-3.908	eV per atom
crystal system	trigonal



No. 4
Material: Cd2InMo
Method: DFT, GGA-PBEsol
State: relaxed

Structure (CIF):
```
data_Cd2InMo
_cell_length_a 3.0610
_cell_length_b 4.7846
_cell_length_c 10.5138
_cell_angle_alpha 90.00
_cell_angle_beta 90.00
_cell_angle_gamma 90.00
_symmetry_space_group_name_H-M 'I m m m'
_symmetry_Int_Tables_number 71
_symmetry_space_group_name_Hall '-I 2 2'
loop_
_atom_site_label
_atom_site_type_symbol
_atom_site_fract_x
_atom_site_fract_y
_atom_site_fract_z
Cd1 Cd 0.0000 0.0000 0.2306
In1 In 0.0000 0.5000 0.0000
Mo1 Mo 0.0000 0.5000 0.5000
```

Summary:
calculated total energy	-3.965	eV per atom
crystal system	orthorhombic



No. 5
Material: Cd2InMo
Method: DFT, GGA-PBEsol
State: relaxed

Structure (CIF):
```
data_Cd2InMo
_cell_length_a 3.1287
_cell_length_b 4.9078
_cell_length_c 9.9413
_cell_angle_alpha 90.00
_cell_angle_beta 90.00
_cell_angle_gamma 90.00
_symmetry_space_group_name_H-M 'I m m 2'
_symmetry_Int_Tables_number 44
loop_
_symmetry_equiv_pos_as_xyz
'x,y,z'
'-x,-y,z'
'-x,y,z'
'x,-y,z'
'x+1/2,y+1/2,z+1/2'
'-x+1/2,-y+1/2,z+1/2'
'-x+1/2,y+1/2,z+1/2'
'x+1/2,-y+1/2,z+1/2'
loop_
_atom_site_label
_atom_site_type_symbol
_atom_site_fract_x
_atom_site_fract_y
_atom_site_fract_z
Cd1 Cd 0.0000 0.0000 0.0000
Cd2 Cd 0.0000 0.5000 0.2422
In1 In 0.0000 0.5000 0.7637
Mo1 Mo 0.0000 0.0000 0.5023
```

Summary:
calculated total energy	-3.867	eV per atom
crystal system	orthorhombic



No. 6
Material: CdInMo2
Method: DFT, GGA-PBEsol
State: relaxed

Structure (CIF):
```
data_CdInMo2
_cell_length_a 3.2091
_cell_length_b 4.7734
_cell_length_c 9.4997
_cell_angle_alpha 90.00
_cell_angle_beta 90.00
_cell_angle_gamma 90.00
_symmetry_space_group_name_H-M 'C m m 2'
_symmetry_Int_Tables_number 35
loop_
_symmetry_equiv_pos_as_xyz
'x,y,z'
'-x,-y,z'
'-x,y,z'
'x,-y,z'
'x+1/2,y+1/2,z'
'-x+1/2,-y+1/2,z'
'-x+1/2,y+1/2,z'
'x+1/2,-y+1/2,z'
loop_
_atom_site_label
_atom_site_type_symbol
_atom_site_fract_x
_atom_site_fract_y
_atom_site_fract_z
Cd1 Cd 0.0000 0.0000 0.0000
In1 In 0.0000 0.5000 0.7144
Mo1 Mo 0.0000 0.0000 0.4613
Mo2 Mo 0.0000 0.5000 0.2540
```

Summary:
calculated total energy	-6.636	eV per atom
crystal system	orthorhombic
energy above the lowest structure with this stoichiometry	0	meV/atom



No. 7
Material: CdIn2Mo
Method: DFT, GGA-PBEsol
State: relaxed

Structure (CIF):
```
data_CdIn2Mo
_cell_length_a 2.9199
_cell_length_b 5.1622
_cell_length_c 5.1425
_cell_angle_alpha 90.00
_cell_angle_beta 90.00
_cell_angle_gamma 90.00
_symmetry_space_group_name_H-M 'P m m 2'
_symmetry_Int_Tables_number 25
loop_
_symmetry_equiv_pos_as_xyz
'x,y,z'
'-x,-y,z'
'-x,y,z'
'x,-y,z'
loop_
_atom_site_label
_atom_site_type_symbol
_atom_site_fract_x
_atom_site_fract_y
_atom_site_fract_z
Cd1 Cd 0.0000 0.0000 0.0000
In1 In 0.0000 0.5000 0.3072
In2 In 0.5000 0.0000 0.5171
Mo1 Mo 0.5000 0.5000 0.8041
```

Summary:
calculated total energy	-4.432	eV per atom
crystal system	orthorhombic



No. 8
Material: Cd2InMo
Method: DFT, GGA-PBEsol
State: relaxed

Structure (CIF):
```
data_Cd2InMo
_cell_length_a 3.0039
_cell_length_b 3.0039
_cell_length_c 29.5220
_cell_angle_alpha 90.00
_cell_angle_beta 90.00
_cell_angle_gamma 120.00
_symmetry_space_group_name_H-M 'R 3 m'
_symmetry_Int_Tables_number 160
_symmetry_space_group_name_Hall 'R 3 -2"'
loop_
_atom_site_label
_atom_site_type_symbol
_atom_site_fract_x
_atom_site_fract_y
_atom_site_fract_z
Cd1 Cd 0.0000 0.0000 0.0000
Cd2 Cd 0.0000 0.0000 0.2474
In1 In 0.0000 0.0000 0.7565
Mo1 Mo 0.0000 0.0000 0.5018
```

Summary:
calculated total energy	-3.962	eV per atom
crystal system	trigonal



Listing total magnetic moment for the structures above in their given order: 0.01, 1.40, 0.00, 0.00, 0.00, 0.00, 0.00, 0.00 μB/f.u..